MgIn8Pt6 PBE relaxed; crystal system = trigonal; N(E_F) = 0.20 states/eV/atom; energy relative to the elements = -783 kJ/mol of formula units; uncorrected energy = -67.86 eV/cell
1.0
6.628 -0.030 2.892
1.882 6.355 2.892
-0.040 -0.030 7.232
In Pt Mg
8 6 1
direct
0.333 0.333 0.333
0.120 0.791 0.438
0.667 0.667 0.667
0.880 0.209 0.562
0.562 0.880 0.209
0.791 0.438 0.120
0.438 0.120 0.791
0.209 0.562 0.880
0.053 0.388 0.720
0.612 0.280 0.947
0.388 0.720 0.053
0.947 0.612 0.280
0.720 0.053 0.388
0.280 0.947 0.612
0.000 0.000 0.000


Mg3In4Pt4 PBE relaxed; crystal system = orthorhombic; N(E_F) = 0.42 states/eV/atom; energy relative to the elements = -583 kJ/mol of formula units; uncorrected energy = -45.94 eV/cell
1.0
-0.481 3.098 0.169
-7.084 -0.883 -3.995
-0.151 -2.111 9.110
Mg Pt In
3 4 4
direct
0.092 0.092 0.184
0.908 0.908 0.816
0.000 0.500 0.000
0.500 0.782 0.000
0.500 0.218 0.000
0.737 0.237 0.474
0.263 0.763 0.526
0.660 0.856 0.321
0.340 0.144 0.679
0.340 0.535 0.679
0.660 0.465 0.321


MgIn3Pt12 PBE relaxed; crystal system = tetragonal; N(E_F) = 0.90 states/eV/atom; energy relative to the elements = -666 kJ/mol of formula units; uncorrected energy = -89.21 eV/cell
1.0
-1.366 -2.368 2.964
3.196 0.978 2.255
-8.143 12.407 6.161
Pt In Mg
12 3 1
direct
0.500 0.000 0.627
0.000 0.500 0.627
0.500 0.000 0.120
0.000 0.500 0.120
0.500 0.500 0.753
0.500 0.500 0.000
0.000 0.500 0.373
0.500 0.000 0.373
0.500 0.500 0.247
0.000 0.500 0.880
0.500 0.000 0.880
0.500 0.500 0.500
0.000 0.000 0.247
0.000 0.000 0.500
0.000 0.000 0.753
0.000 0.000 0.000


Mg2InPt4 PBE relaxed; crystal system = tetragonal; N(E_F) = 0.41 states/eV/atom; energy relative to the elements = -324 kJ/mol of formula units; uncorrected energy = -33.45 eV/cell
1.0
5.157 0.127 -1.737
-2.534 4.398 -1.966
0.073 -0.127 5.441
Mg Pt In
2 4 1
direct
0.500 0.500 0.000
0.500 0.000 0.500
0.500 0.500 0.500
0.000 0.500 0.000
0.000 0.000 0.500
0.500 0.000 0.000
0.000 0.000 0.000


MgInPt2 PBE relaxed; crystal system = tetragonal; N(E_F) = 0.58 states/eV/atom; energy relative to the elements = -131 kJ/mol of formula units; uncorrected energy = -17.77 eV/cell
1.0
3.000 0.000 0.000
0.000 3.000 0.000
0.000 0.000 8.051
Mg Pt In
1 2 1
direct
0.500 0.500 0.791
0.000 0.000 0.997
0.500 0.500 0.239
0.000 0.000 0.473


MgIn2Pt PBE relaxed; crystal system = tetragonal; N(E_F) = 0.27 states/eV/atom; energy relative to the elements = -91 kJ/mol of formula units; uncorrected energy = -14.06 eV/cell
1.0
3.219 0.008 0.000
-0.005 3.219 0.000
0.000 0.000 8.072
In Pt Mg
2 1 1
direct
0.000 0.000 0.531
0.000 0.000 0.969
0.500 0.500 0.750
0.500 0.500 0.250


Mg2InPt5 PBE relaxed; crystal system = orthorhombic; N(E_F) = 0.39 states/eV/atom; energy relative to the elements = -532 kJ/mol of formula units; uncorrected energy = -83.29 eV/cell
1.0
-2.712 -2.227 -2.103
4.215 -3.059 -2.196
-0.747 -7.184 8.573
In Pt Mg
2 10 4
direct
0.000 0.500 0.000
0.000 0.000 0.500
0.500 0.270 0.119
0.500 0.230 0.619
0.000 0.469 0.752
0.000 0.000 0.000
0.000 0.531 0.248
0.000 0.031 0.252
0.500 0.770 0.381
0.000 0.500 0.500
0.000 0.969 0.748
0.500 0.730 0.881
0.500 0.710 0.638
0.500 0.290 0.362
0.500 0.790 0.138
0.500 0.210 0.862


Mg12In5Pt3 PBE relaxed; crystal system = cubic; N(E_F) = 0.62 states/eV/atom; energy relative to the elements = 98 kJ/mol of formula units; uncorrected energy = -199.73 eV/cell
1.0
14.072 0.000 0.000
-4.691 13.267 0.000
-4.691 -6.633 11.490
Mg Pt In
48 12 20
direct
0.239 0.660 0.100
0.261 0.861 0.922
0.761 0.340 0.900
0.340 0.761 0.400
0.840 0.900 0.261
0.060 0.160 0.422
0.422 0.660 0.060
0.060 0.900 0.139
0.861 0.600 0.940
0.739 0.139 0.078
0.600 0.739 0.660
0.100 0.160 0.239
0.840 0.940 0.078
0.239 0.578 0.639
0.940 0.100 0.861
0.361 0.922 0.761
0.400 0.139 0.560
0.861 0.261 0.422
0.900 0.060 0.639
0.340 0.578 0.440
0.639 0.078 0.239
0.922 0.560 0.160
0.422 0.761 0.861
0.400 0.261 0.340
0.922 0.361 0.261
0.560 0.922 0.660
0.639 0.560 0.900
0.940 0.840 0.578
0.560 0.639 0.400
0.440 0.078 0.340
0.660 0.239 0.600
0.440 0.361 0.600
0.160 0.060 0.922
0.100 0.940 0.361
0.660 0.422 0.560
0.261 0.400 0.840
0.900 0.840 0.761
0.361 0.440 0.100
0.578 0.239 0.139
0.078 0.639 0.739
0.139 0.739 0.578
0.139 0.400 0.060
0.600 0.861 0.440
0.078 0.440 0.840
0.160 0.100 0.739
0.578 0.340 0.940
0.739 0.600 0.160
0.761 0.422 0.361
0.125 0.250 0.875
0.375 0.625 0.250
0.250 0.625 0.875
0.875 0.750 0.125
0.875 0.125 0.250
0.750 0.375 0.125
0.375 0.750 0.625
0.750 0.875 0.625
0.625 0.375 0.750
0.125 0.875 0.750
0.625 0.250 0.375
0.250 0.125 0.375
0.750 0.125 0.875
0.375 0.125 0.750
0.875 0.250 0.625
0.750 0.625 0.375
0.375 0.250 0.125
0.500 0.500 0.000
0.875 0.625 0.750
0.625 0.750 0.875
0.000 0.500 0.500
0.250 0.875 0.125
0.125 0.750 0.375
0.000 0.500 0.000
0.625 0.875 0.250
0.500 0.500 0.500
0.000 0.000 0.500
0.125 0.375 0.250
0.250 0.375 0.625
0.500 0.000 0.500
0.500 0.000 0.000
0.000 0.000 0.000


MgIn2Pt2 PBE relaxed; crystal system = tetragonal; N(E_F) = 0.20 states/eV/atom; energy relative to the elements = -188 kJ/mol of formula units; uncorrected energy = -42.19 eV/cell; energy above the lowest structure with this stoichiometry = 0.209 eV/atom
1.0
7.794 0.000 0.000
0.000 7.794 0.000
0.000 0.000 3.179
Pt In Mg
4 4 2
direct
0.335 0.165 0.500
0.665 0.835 0.500
0.165 0.665 0.500
0.835 0.335 0.500
0.865 0.635 0.000
0.135 0.365 0.000
0.635 0.135 0.000
0.365 0.865 0.000
0.000 0.000 0.000
0.500 0.500 0.000


MgInPt2 PBE relaxed; crystal system = orthorhombic; N(E_F) = 0.29 states/eV/atom; energy relative to the elements = -252 kJ/mol of formula units; uncorrected energy = -19.03 eV/cell
1.0
3.002 0.000 0.000
0.000 3.794 0.000
0.000 0.000 5.952
Pt In Mg
2 1 1
direct
0.000 0.000 0.992
0.000 0.000 0.508
0.500 0.500 0.250
0.500 0.500 0.750


Mg11In9Pt4 PBE relaxed; crystal system = orthorhombic; N(E_F) = 0.34 states/eV/atom; energy relative to the elements = -852 kJ/mol of formula units; uncorrected energy = -75.18 eV/cell
1.0
3.507 0.000 0.000
0.000 11.478 -4.721
0.000 0.170 12.410
Mg In Pt
11 9 4
direct
0.000 0.156 0.844
0.000 0.000 0.000
0.000 0.844 0.156
0.000 0.373 0.627
0.000 0.627 0.373
0.000 0.924 0.580
0.000 0.313 0.313
0.000 0.420 0.076
0.000 0.687 0.687
0.000 0.580 0.924
0.000 0.076 0.420
0.500 0.150 0.632
0.500 0.930 0.779
0.500 0.221 0.070
0.500 0.850 0.368
0.500 0.632 0.150
0.500 0.368 0.850
0.500 0.070 0.221
0.500 0.500 0.500
0.500 0.779 0.930
0.500 0.250 0.451
0.500 0.750 0.549
0.500 0.549 0.750
0.500 0.451 0.250


Mg6InPt PBE relaxed; crystal system = monoclinic; N(E_F) = 0.37 states/eV/atom; energy relative to the elements = -68 kJ/mol of formula units; uncorrected energy = -19.05 eV/cell; energy above the lowest structure with this stoichiometry = 0.176 eV/atom
1.0
-5.360 -0.311 3.243
0.163 -2.235 5.992
0.902 3.856 4.828
Mg In Pt
6 1 1
direct
0.743 0.073 0.419
0.268 0.266 0.000
0.743 0.492 0.581
0.257 0.927 0.581
0.257 0.508 0.419
0.732 0.734 0.000
0.000 0.000 0.000
0.500 0.500 0.000


Mg3In2Pt3 PBE relaxed; crystal system = hexagonal; N(E_F) = 0.22 states/eV/atom; energy relative to the elements = -448 kJ/mol of formula units; uncorrected energy = -66.05 eV/cell
1.0
-3.334 3.365 -3.082
-5.396 -5.788 -0.482
-0.284 5.196 5.981
Pt Mg In
6 6 4
direct
0.750 0.000 0.616
0.750 0.384 0.384
0.750 0.616 0.000
0.250 0.000 0.384
0.250 0.616 0.616
0.250 0.384 0.000
0.250 0.000 0.745
0.750 0.000 0.255
0.750 0.255 0.000
0.750 0.745 0.745
0.250 0.745 0.000
0.250 0.255 0.255
0.500 0.333 0.667
0.500 0.667 0.333
0.000 0.333 0.667
0.000 0.667 0.333


Mg2InPt PBE relaxed; crystal system = orthorhombic; N(E_F) = 0.31 states/eV/atom; energy relative to the elements = -155 kJ/mol of formula units; uncorrected energy = -13.57 eV/cell
1.0
-0.444 -2.431 2.534
3.292 0.715 1.263
-2.312 4.214 3.637
Mg In Pt
2 1 1
direct
0.500 0.500 0.276
0.000 0.000 0.005
0.500 0.500 0.738
0.000 0.000 0.481


Mg2InPt PBE relaxed; crystal system = orthorhombic; N(E_F) = 0.35 states/eV/atom; energy relative to the elements = -198 kJ/mol of formula units; uncorrected energy = -14.02 eV/cell
1.0
-1.189 0.622 2.814
-1.106 -2.929 0.180
5.673 -5.280 3.566
Pt In Mg
1 1 2
direct
0.500 0.250 0.250
0.500 0.750 0.750
0.000 0.955 0.045
0.000 0.545 0.455


MgInPt PBE relaxed; crystal system = orthorhombic; N(E_F) = 0.31 states/eV/atom; energy relative to the elements = -156 kJ/mol of formula units; uncorrected energy = -11.99 eV/cell
1.0
-1.319 -4.691 -1.508
1.530 -1.901 -4.479
1.940 2.382 4.072
Pt Mg In
1 1 1
direct
0.673 0.673 0.000
0.322 0.322 0.000
0.005 0.005 0.000


MgInPt2 PBE relaxed; crystal system = orthorhombic; N(E_F) = 0.22 states/eV/atom; energy relative to the elements = -254 kJ/mol of formula units; uncorrected energy = -19.04 eV/cell
1.0
-2.035 -1.833 3.894
2.289 -1.897 0.303
2.309 3.223 2.724
Pt In Mg
2 1 1
direct
0.000 0.125 0.904
0.500 0.125 0.341
0.000 0.625 0.405
0.500 0.625 0.851


MgIn2Pt PBE relaxed; crystal system = orthorhombic; N(E_F) = 0.54 states/eV/atom; energy relative to the elements = -121 kJ/mol of formula units; uncorrected energy = -14.36 eV/cell
1.0
3.032 0.000 0.000
0.000 3.475 0.000
0.000 0.000 8.103
Pt In Mg
1 2 1
direct
0.500 0.500 0.736
0.500 0.500 0.260
0.000 0.000 0.952
0.000 0.000 0.552


MgInPt2 PBE relaxed; crystal system = orthorhombic; N(E_F) = 0.22 states/eV/atom; energy relative to the elements = -263 kJ/mol of formula units; uncorrected energy = -19.14 eV/cell
1.0
-1.783 -0.891 -3.831
-0.566 -4.044 1.405
-3.276 0.914 1.312
In Pt Mg
1 2 1
direct
0.500 0.000 0.500
0.000 0.000 0.000
0.500 0.500 0.000
0.000 0.500 0.500


MgIn2Pt PBE relaxed; crystal system = monoclinic; N(E_F) = 0.34 states/eV/atom; energy relative to the elements = -91 kJ/mol of formula units; uncorrected energy = -14.06 eV/cell
1.0
4.432 0.000 0.000
0.000 3.665 0.003
0.000 2.515 5.404
In Pt Mg
2 1 1
direct
0.000 0.873 0.981
0.000 0.627 0.519
0.500 0.750 0.750
0.500 0.250 0.250